# 1
# ZrSi2I

ZrSi2I after structural relaxation (PBE-GGA, the Alexandria database).

space group = Fm-3m (225)
excess energy over the best structure of this formula in the dataset = 0.0 meV per atom
crystal system = cubic
calculated density = 5.47 g cm⁻³
final energy = -4.569 eV/atom
ΔE_f (raw) = 258 kJ/mol of formula units

Unit cell a=4.9002 b=4.9002 c=4.9002 alpha=60.00 beta=60.00 gamma=60.00
With the nearest neighbours (Å) after each atom.
Fractional coordinates of all 4 atoms:
1 I 0.5000 0.5000 0.5000  8 Si 3.00
2 Si 0.2500 0.2500 0.2500  4 I 3.00, 4 Zr 3.00
3 Si 0.7500 0.7500 0.7500  4 Zr 3.00, 4 I 3.00
4 Zr 0.0000 0.0000 0.0000  8 Si 3.00

# 2
# ZrTaV2B

ZrTaV2B after structural relaxation (PBE-GGA, the Alexandria database).

space group = P4/mmm (123)
excess energy over the best structure of this formula in the dataset = 2418.3 meV per atom
crystal system = tetragonal
calculated density = 6.38 g cm⁻³
final energy = -6.495 eV/atom
DFT formation energy = 12.84 eV per formula unit

Unit cell a=4.4559 b=5.0464 c=4.4559 alpha=90.00 beta=90.00 gamma=90.00
With the nearest neighbours (Å) after each atom.
Fractional coordinates of all 5 atoms:
1 B 0.5000 0.5000 0.5000  4 Ta 3.15, 8 V 3.37
2 V 0.0000 0.0000 0.5000  2 Zr 2.23
3 V 0.5000 0.0000 0.0000  2 Zr 2.23
4 Zr 0.0000 0.0000 0.0000  4 V 2.23
5 Ta 0.0000 0.5000 0.0000  2 Zr 2.52

# 3
# BaSi2Ru

BaSi2Ru after structural relaxation (PBE-GGA, the Alexandria database).

space group = R-3m (166)
crystal system = trigonal
calculated density = 5.53 g cm⁻³
final energy = -5.959 eV/atom
ΔE_f (raw) = -173 kJ/mol of formula units

Unit cell a=4.1253 b=4.1253 c=6.4568 alpha=71.40 beta=71.40 gamma=59.94
With the nearest neighbours (Å) after each atom.
Fractional coordinates of all 4 atoms:
1 Ba 0.7500 0.7500 0.7500  8 Si 3.39-3.59
2 Ru 0.2500 0.2500 0.2500  6 Si 2.45-2.46
3 Si 0.9495 0.9495 0.1512  3 Ru 2.45-2.46, 3 Si 2.66
4 Si 0.5505 0.5505 0.3488  3 Ru 2.45-2.46, 3 Si 2.66